VASP calculation (SCAN) on a PBEsol-optimized structure of MnCo2As.

Cell and atoms, written as extended XYZ:
```
4
Lattice="-1.331 2.741 -0.511 -2.407 -1.416 -1.322 -2.271 -0.277 4.430" Properties=species:S:1:pos:R:3 pbc="T T T"
Co -2.222 -0.271 4.336
Co -2.471 0.589 0.258
As -3.626 0.448 2.511
Mn -1.096 -0.134 2.138
```

Values from the calculation:
Volume, Å³/atom: 11.9
Energy of formation, eV per atom: -0.044
Fermi-level density of states, states/eV per atom: 0.522
Crystal system: tetragonal


VASP calculation (SCAN) on a PBEsol-optimized structure of LiZnRh2.

Cell and atoms, written as extended XYZ:
```
4
Lattice="-0.174 0.917 -2.643 4.210 -1.325 -0.737 -3.418 -3.570 0.473" Properties=species:S:1:pos:R:3 pbc="T T T"
Li 2.105 -0.662 -0.368
Zn -0.087 0.458 -1.321
Rh -0.690 -1.860 -0.599
Rh 1.308 -2.118 -2.307
```

Values from the calculation:
Volume, Å³/atom: 13.2
Energy of formation, eV per atom: -0.222
Fermi-level density of states, states/eV per atom: 0.726
Crystal system: orthorhombic


VASP calculation (SCAN) on a PBEsol-optimized structure of ReS2ICl.

Cell and atoms, written as extended XYZ:
```
5
Lattice="-4.368 -2.086 -1.687 0.928 -4.199 2.791 -2.496 2.055 3.922" Properties=species:S:1:pos:R:3 pbc="T T T"
Cl -1.248 1.027 1.961
Re -2.968 -2.115 2.513
I 0.000 0.000 0.000
S -2.184 -1.043 -0.843
S 0.464 -2.100 1.395
```

Values from the calculation:
Volume, Å³/atom: 26.7
ΔE_f (raw), eV per atom: 1.6952
Fermi-level density of states, states/eV per atom: 0.554
Crystal system: tetragonal


Question: Among the records above, which one has the lowest Fermi-level density of states?
Answer: MnCo2As